The following is a PBE calculation of crystalline Pr3Sn3Rh2 at its relaxed geometry, from the Alexandria database.

Computed properties:
- Magnetization: 0.000 Bohr magnetons per cell
- V: 810 Å³ per cell
- N(E_F): 0.88 states/eV per atom
- Total energy: -47.3 eV per formula unit
- ΔH_f (0 K): -0.778 eV/atom

Cell lengths 6.043, 8.569, 15.639 Å; angles 90.00, 90.00, 90.00 degrees
Atoms (fractional coordinates):
Sn  0.383  0.678  0.250
Sn  0.387  0.688  0.966
Pr  0.132  0.171  0.750
Sn  0.117  0.178  0.250
Sn  0.887  0.812  0.466
Pr  0.616  0.032  0.889
Sn  0.113  0.188  0.966
Rh  0.631  0.592  0.391
Pr  0.884  0.532  0.889
Rh  0.869  0.092  0.109
Pr  0.616  0.032  0.611
Rh  0.369  0.408  0.609
Pr  0.384  0.968  0.111
Sn  0.883  0.822  0.750
Pr  0.384  0.968  0.389
Pr  0.368  0.671  0.750
Pr  0.116  0.468  0.111
Sn  0.387  0.688  0.534
Rh  0.369  0.408  0.891
Pr  0.632  0.329  0.250
Pr  0.116  0.468  0.389
Sn  0.617  0.322  0.750
Pr  0.868  0.829  0.250
Sn  0.887  0.812  0.034
Sn  0.613  0.312  0.034
Rh  0.869  0.092  0.391
Sn  0.613  0.312  0.466
Sn  0.113  0.188  0.534
Rh  0.131  0.908  0.609
Rh  0.631  0.592  0.109
Pr  0.884  0.532  0.611
Rh  0.131  0.908  0.891

The following is a PBE calculation of crystalline Pr2Sn2Rh at its relaxed geometry, from the Alexandria database.

Computed properties:
- Magnetization: 0.000 Bohr magnetons per cell
- V: 291 Å³ per cell
- N(E_F): 1.19 states/eV per atom
- Total energy: -28.0 eV per formula unit
- ΔH_f (0 K): -0.622 eV/atom
- Polymorph energy (0 for the lowest one): 0.1763 eV/atom

Cell lengths 6.419, 6.816, 8.131 Å; angles 114.78, 113.25, 90.00 degrees
Atoms (fractional coordinates):
Sn  0.380  0.603  0.760
Rh  0.750  0.500  0.000
Sn  0.120  0.843  0.240
Sn  0.880  0.157  0.760
Pr  0.130  0.339  0.259
Sn  0.620  0.397  0.240
Pr  0.370  0.080  0.741
Pr  0.630  0.920  0.259
Pr  0.870  0.661  0.741
Rh  0.250  0.500  0.000

The following is a PBE calculation of crystalline PrSn2Rh5 at its relaxed geometry, from the Alexandria database.

Computed properties:
- Magnetization: 0.002 Bohr magnetons per cell
- V: 153 Å³ per cell
- N(E_F): 0.97 states/eV per atom
- Total energy: -52.7 eV per formula unit
- ΔH_f (0 K): -0.394 eV/atom

Cell lengths 3.971, 6.810, 6.810 Å; angles 61.74, 73.05, 73.05 degrees
Atoms (fractional coordinates):
Rh  0.625  0.176  0.573
Sn  0.761  0.739  0.739
Rh  0.375  0.427  0.824
Rh  0.625  0.573  0.176
Sn  0.239  0.261  0.261
Rh  0.375  0.824  0.427
Pr  0.000  0.000  0.000
Rh  0.000  0.500  0.500

The following is a PBE calculation of crystalline PrSn5Rh3 at its relaxed geometry, from the Alexandria database.

Computed properties:
- Magnetization: 0.000 Bohr magnetons per cell
- V: 460 Å³ per cell
- N(E_F): 0.42 states/eV per atom
- Total energy: -50.3 eV per formula unit
- ΔH_f (0 K): -0.388 eV/atom

Cell lengths 7.466, 7.466, 9.887 Å; angles 66.41, 66.41, 75.42 degrees
Atoms (fractional coordinates):
Sn  0.585  0.585  0.647
Rh  0.000  0.000  0.500
Sn  0.415  0.415  0.353
Sn  0.381  0.939  0.342
Pr  0.102  0.102  0.692
Rh  0.307  0.307  0.177
Sn  0.758  0.758  0.040
Rh  0.364  0.364  0.652
Sn  0.619  0.061  0.658
Sn  0.061  0.619  0.658
Rh  0.693  0.693  0.823
Pr  0.898  0.898  0.308
Sn  0.698  0.302  0.000
Rh  0.636  0.636  0.348
Sn  0.302  0.698  0.000
Rh  0.000  0.000  0.000
Sn  0.242  0.242  0.960
Sn  0.939  0.381  0.342

- Look up the V of the third one.
  153 Å³ per cell